Li8Ag2Pd | PBE | optimized geometry

Uncorrected energy   -28.28 eV/cell
DFT formation energy   -0.189 eV/atom
Space-group type   Immm (71)
Total moment   0.00 μB/f.u.

```
Li8Ag2Pd
1.0
-2.153 3.554 5.964
2.153 -3.554 5.964
2.153 3.554 -5.964
Li Ag Pd
8 2 1
Direct
0.139 0.139 0.000
0.143 0.355 0.788
0.307 0.000 0.307
0.433 0.645 0.788
0.567 0.355 0.212
0.693 0.000 0.693
0.857 0.645 0.212
0.861 0.861 0.000
0.291 0.791 0.500
0.709 0.209 0.500
0.000 0.500 0.500
```